Entry 1:
Material: ErMgPd
Method: DFT, GGA-PBEsol
State: relaxed

a = 4.015 Å, b = 7.288 Å, c = 7.288 Å
α = 120.00°, β = 90.00°, γ = 90.00°
Atoms (fractional coordinates):
Mg 0.000 0.000 0.754
Mg 0.000 0.754 0.000
Mg 0.000 0.246 0.246
Pd 0.000 0.667 0.333
Pd 0.000 0.333 0.667
Pd 0.500 0.000 0.000
Er 0.500 0.000 0.411
Er 0.500 0.589 0.589
Er 0.500 0.411 0.000

Properties
Energy of formation   -0.670 eV per atom
Final energy   -43.84 eV per cell
Theoretical density   8037 kg/m³

---

Entry 2:
Material: YIr2Au2
Method: DFT, GGA-PBEsol
State: relaxed

a = 3.960 Å, b = 3.960 Å, c = 6.672 Å
α = 107.26°, β = 107.26°, γ = 90.00°
Atoms (fractional coordinates):
Y 0.000 0.000 0.000
Ir 0.404 0.404 0.807
Ir 0.596 0.596 0.193
Au 0.250 0.750 0.500
Au 0.750 0.250 0.500

Properties
Energy of formation   -0.140 eV per atom
Final energy   -35.02 eV per cell
Theoretical density   15162 kg/m³

---

Entry 3:
Material: Sr3Li
Method: DFT, GGA-PBEsol
State: relaxed

a = 4.311 Å, b = 6.519 Å, c = 7.510 Å
α = 115.72°, β = 106.68°, γ = 90.00°
Atoms (fractional coordinates):
Sr 0.719 0.719 0.438
Sr 0.281 0.281 0.562
Sr 0.500 0.000 0.000
Li 0.000 0.500 0.000

Properties
Energy of formation   0.040 eV per atom
Final energy   -7.33 eV per cell
Theoretical density   2486 kg/m³
Relative energy among the computed polymorphs   0.0 kJ/mol of formula units

---

Entry 4:
Material: InWS3
Method: DFT, GGA-PBEsol
State: relaxed

a = 4.691 Å, b = 4.691 Å, c = 4.691 Å
α = 90.00°, β = 90.00°, γ = 90.00°
Atoms (fractional coordinates):
S 0.000 0.500 0.000
S 0.000 0.000 0.500
S 0.500 0.000 0.000
W 0.000 0.000 0.000
In 0.500 0.500 0.500

Properties
Final energy   -31.05 eV per cell
Theoretical density   6351 kg/m³
Formation energy (no corrections)   -0.22 eV per atom

---

Entry 5:
Material: CaTl2Se
Method: DFT, GGA-PBEsol
State: relaxed

a = 4.040 Å, b = 5.487 Å, c = 5.702 Å
α = 109.28°, β = 90.00°, γ = 111.60°
Atoms (fractional coordinates):
Tl 0.023 0.047 0.967
Tl 0.262 0.525 0.773
Ca 0.464 0.928 0.389
Se 0.751 0.501 0.372

Properties
Final energy   -13.78 eV per cell
Theoretical density   7979 kg/m³
Formation energy (no corrections)   -0.63 eV per atom

---

Entry 6:
Material: YHO2F
Method: DFT, GGA-PBEsol
State: relaxed

a = 4.346 Å, b = 4.429 Å, c = 4.429 Å
α = 90.00°, β = 90.00°, γ = 90.00°
Atoms (fractional coordinates):
Y 0.000 0.000 0.000
H 0.500 0.500 0.500
O 0.000 0.000 0.500
O 0.000 0.500 0.000
F 0.500 0.000 0.000

Properties
Final energy   -28.37 eV per cell
Theoretical density   2745 kg/m³

---

Entry 7:
Material: ScInCl2
Method: DFT, GGA-PBEsol
State: relaxed

a = 5.013 Å, b = 5.013 Å, c = 5.013 Å
α = 60.00°, β = 60.00°, γ = 60.00°
Atoms (fractional coordinates):
Sc 0.250 0.250 0.250
Cl 0.000 0.000 0.000
Cl 0.750 0.750 0.750
In 0.500 0.500 0.500

Properties
Final energy   -15.24 eV per cell
Theoretical density   4299 kg/m³
Relative energy among the computed polymorphs   302.8 kJ/mol of formula units
Formation energy (no corrections)   -0.41 eV per atom

---

Entry 8:
Material: Ba2ZrSc
Method: DFT, GGA-PBEsol
State: relaxed

a = 3.513 Å, b = 5.311 Å, c = 7.032 Å
α = 90.00°, β = 89.94°, γ = 90.00°
Atoms (fractional coordinates):
Ba 0.999 0.000 0.744
Ba 0.001 0.000 0.256
Sc 0.500 0.500 0.000
Zr 0.500 0.500 0.500

Properties
Energy of formation   0.613 eV per atom
Final energy   -17.54 eV per cell
Theoretical density   5199 kg/m³
Relative energy among the computed polymorphs   0.0 kJ/mol of formula units

---

Entry 9:
Material: ZnCrAg
Method: DFT, GGA-PBEsol
State: relaxed

a = 3.204 Å, b = 3.204 Å, c = 4.931 Å
α = 108.96°, β = 108.96°, γ = 90.00°
Atoms (fractional coordinates):
Ag 0.996 0.996 0.992
Cr 0.674 0.674 0.348
Zn 0.330 0.330 0.660

Properties
Energy of formation   0.331 eV per atom
Final energy   -14.14 eV per cell
Theoretical density   8321 kg/m³

---

Entry 10:
Material: K2GePtCl
Method: DFT, GGA-PBEsol
State: relaxed

a = 5.072 Å, b = 5.444 Å, c = 5.444 Å
α = 90.00°, β = 90.00°, γ = 90.00°
Atoms (fractional coordinates):
Ge 0.500 0.000 0.000
K 0.000 0.000 0.500
K 0.000 0.500 0.000
Pt 0.500 0.500 0.500
Cl 0.000 0.000 0.000

Properties
Final energy   -15.32 eV per cell
Theoretical density   4213 kg/m³
Formation energy (no corrections)   0.17 eV per atom

---

Entry 11:
Material: Os2RuW
Method: DFT, GGA-PBEsol
State: relaxed

a = 3.844 Å, b = 3.844 Å, c = 3.846 Å
α = 90.00°, β = 90.00°, γ = 90.00°
Atoms (fractional coordinates):
Ru 0.500 0.500 0.500
Os 0.000 0.500 0.000
Os 0.500 0.000 0.000
W 0.000 0.000 0.500

Properties
Energy of formation   -0.008 eV per atom
Final energy   -48.45 eV per cell
Theoretical density   19441 kg/m³
Relative energy among the computed polymorphs   0.0 kJ/mol of formula units

---

Entry 12:
Material: LiSiIr
Method: DFT, GGA-PBEsol
State: relaxed

a = 2.991 Å, b = 2.991 Å, c = 4.563 Å
α = 109.13°, β = 109.13°, γ = 90.00°
Atoms (fractional coordinates):
Si 0.335 0.335 0.670
Ir 0.995 0.995 0.991
Li 0.670 0.670 0.339

Properties
Final energy   -19.20 eV per cell
Theoretical density   10435 kg/m³
Formation energy (no corrections)   -0.56 eV per atom

---

Entry 13:
Material: Pb4SeBr
Method: DFT, GGA-PBEsol
State: relaxed

a = 6.321 Å, b = 6.321 Å, c = 6.321 Å
α = 60.00°, β = 60.00°, γ = 60.00°
Atoms (fractional coordinates):
Br 0.000 0.000 0.000
Pb 0.874 0.375 0.375
Pb 0.375 0.375 0.375
Pb 0.375 0.375 0.874
Pb 0.375 0.874 0.375
Se 0.750 0.750 0.750

Properties
Final energy   -20.75 eV per cell
Theoretical density   9185 kg/m³
Formation energy (no corrections)   0.16 eV per atom

---

Entry 14:
Material: KCaLaW2
Method: DFT, GGA-PBEsol
State: relaxed

a = 4.995 Å, b = 4.995 Å, c = 5.750 Å
α = 90.00°, β = 90.00°, γ = 90.00°
Atoms (fractional coordinates):
Ca 0.000 0.000 0.500
K 0.500 0.500 0.500
W 0.000 0.500 0.000
W 0.500 0.000 0.000
La 0.000 0.000 0.000

Properties
Energy of formation   2.078 eV per atom
Final energy   -25.84 eV per cell
Theoretical density   6780 kg/m³

---

Entry 15:
Material: LiCdPt
Method: DFT, GGA-PBEsol
State: relaxed

a = 2.823 Å, b = 4.353 Å, c = 4.353 Å
α = 120.00°, β = 90.00°, γ = 90.00°
Atoms (fractional coordinates):
Cd 0.962 0.000 0.000
Pt 0.409 0.667 0.333
Li 0.628 0.333 0.667

Properties
Energy of formation   -0.426 eV per atom
Final energy   -11.41 eV per cell
Theoretical density   11273 kg/m³
Relative energy among the computed polymorphs   0.0 kJ/mol of formula units

---

Entry 16:
Material: YTlIn2
Method: DFT, GGA-PBEsol
State: relaxed

a = 4.458 Å, b = 4.458 Å, c = 5.866 Å
α = 112.34°, β = 112.34°, γ = 90.00°
Atoms (fractional coordinates):
Y 0.250 0.750 0.500
Tl 0.500 0.500 0.000
In 0.000 0.000 0.000
In 0.750 0.250 0.500

Properties
Energy of formation   -0.352 eV per atom
Final energy   -16.83 eV per cell
Theoretical density   8833 kg/m³

---

Entry 17:
Material: Ba5Ca24
Method: DFT, GGA-PBEsol
State: relaxed

a = 11.850 Å, b = 11.850 Å, c = 11.850 Å
α = 109.47°, β = 109.47°, γ = 109.47°
Atoms (fractional coordinates):
Ba 0.000 0.000 0.368
Ba 0.632 0.632 0.632
Ba 0.368 0.000 0.000
Ba 0.000 0.368 0.000
Ba 0.000 0.000 0.000
Ca 0.192 0.192 0.812
Ca 0.381 0.381 0.188
Ca 0.619 0.808 0.000
Ca 0.808 0.619 0.000
Ca 0.000 0.808 0.619
Ca 0.000 0.619 0.808
Ca 0.188 0.381 0.381
Ca 0.812 0.192 0.192
Ca 0.808 0.000 0.619
Ca 0.619 0.000 0.808
Ca 0.192 0.812 0.192
Ca 0.381 0.188 0.381
Ca 0.677 0.677 0.273
Ca 0.403 0.403 0.727
Ca 0.597 0.323 0.000
Ca 0.323 0.597 0.000
Ca 0.000 0.323 0.597
Ca 0.000 0.597 0.323
Ca 0.727 0.403 0.403
Ca 0.273 0.677 0.677
Ca 0.323 0.000 0.597
Ca 0.597 0.000 0.323
Ca 0.677 0.273 0.677
Ca 0.403 0.727 0.403

Properties
Energy of formation   0.034 eV per atom
Final energy   -60.95 eV per cell
Theoretical density   2137 kg/m³

---

Entry 18:
Material: MnTlHg
Method: DFT, GGA-PBEsol
State: relaxed

a = 4.615 Å, b = 4.615 Å, c = 4.615 Å
α = 60.00°, β = 60.00°, γ = 60.00°
Atoms (fractional coordinates):
Hg 0.250 0.250 0.250
Mn 0.000 0.000 0.000
Tl 0.500 0.500 0.500

Properties
Energy of formation   0.525 eV per atom
Final energy   -11.38 eV per cell
Theoretical density   10986 kg/m³
Relative energy among the computed polymorphs   40.4 kJ/mol of formula units

---

Entry 19:
Material: KZnFe2
Method: DFT, GGA-PBEsol
State: relaxed

a = 2.732 Å, b = 4.363 Å, c = 6.718 Å
α = 90.00°, β = 97.61°, γ = 90.00°
Atoms (fractional coordinates):
Fe 0.761 0.000 0.634
Fe 0.239 0.000 0.366
K 0.500 0.500 0.000
Zn 0.000 0.500 0.500

Properties
Energy of formation   0.699 eV per atom
Final energy   -17.85 eV per cell
Theoretical density   4523 kg/m³

---

Entry 20:
Material: SiPb3W
Method: DFT, GGA-PBEsol
State: relaxed

a = 5.210 Å, b = 5.210 Å, c = 5.210 Å
α = 90.00°, β = 90.00°, γ = 90.00°
Atoms (fractional coordinates):
Pb 0.000 0.500 0.000
Pb 0.000 0.000 0.500
Pb 0.500 0.000 0.000
Si 0.000 0.000 0.000
W 0.500 0.500 0.500

Properties
Final energy   -23.38 eV per cell
Theoretical density   9786 kg/m³
Relative energy among the computed polymorphs   231.7 kJ/mol of formula units
Formation energy (no corrections)   1.63 eV per atom

---

Entry 21:
Material: K3TbSi2O7
Method: DFT, GGA-PBEsol
State: relaxed

a = 9.875 Å, b = 9.875 Å, c = 14.381 Å
α = 90.00°, β = 90.00°, γ = 120.00°
Atoms (fractional coordinates):
K 0.000 0.000 0.000
K 0.000 0.668 0.410
K 0.668 0.668 0.910
K 0.332 0.000 0.910
K 0.668 0.000 0.410
K 0.332 0.332 0.410
K 0.000 0.668 0.090
K 0.000 0.000 0.500
K 0.333 0.667 0.750
K 0.667 0.333 0.250
K 0.667 0.333 0.750
K 0.333 0.667 0.250
K 0.332 0.332 0.090
K 0.000 0.332 0.590
K 0.332 0.000 0.590
K 0.668 0.000 0.090
K 0.000 0.332 0.910
K 0.668 0.668 0.590
Tb 0.000 0.000 0.750
Tb 0.333 0.667 0.500
Tb 0.667 0.333 0.000
Tb 0.667 0.333 0.500
Tb 0.333 0.667 0.000
Tb 0.000 0.000 0.250
Si 0.341 0.341 0.643
Si 0.000 0.659 0.643
Si 0.659 0.000 0.643
Si 0.341 0.000 0.143
Si 0.000 0.659 0.857
Si 0.659 0.659 0.143
Si 0.000 0.341 0.143
Si 0.659 0.659 0.357
Si 0.341 0.000 0.357
Si 0.659 0.000 0.857
Si 0.341 0.341 0.857
Si 0.000 0.341 0.357
O 0.000 0.592 0.750
O 0.592 0.592 0.250
O 0.408 0.000 0.250
O 0.592 0.000 0.750
O 0.408 0.408 0.750
O 0.000 0.408 0.250
O 0.176 0.176 0.647
O 0.000 0.824 0.647
O 0.824 0.000 0.647
O 0.176 0.000 0.147
O 0.000 0.824 0.853
O 0.824 0.824 0.147
O 0.000 0.176 0.147
O 0.824 0.824 0.353
O 0.176 0.000 0.353
O 0.824 0.000 0.853
O 0.176 0.176 0.853
O 0.000 0.176 0.353
O 0.156 0.679 0.592
O 0.523 0.844 0.592
O 0.321 0.477 0.592
O 0.679 0.523 0.092
O 0.477 0.321 0.908
O 0.844 0.321 0.092
O 0.477 0.156 0.092
O 0.321 0.844 0.408
O 0.156 0.477 0.408
O 0.844 0.523 0.908
O 0.679 0.156 0.908
O 0.523 0.679 0.408
O 0.844 0.321 0.408
O 0.477 0.156 0.408
O 0.679 0.523 0.408
O 0.321 0.477 0.908
O 0.523 0.679 0.092
O 0.156 0.679 0.908
O 0.477 0.321 0.592
O 0.321 0.844 0.092
O 0.156 0.477 0.092
O 0.844 0.523 0.592
O 0.679 0.156 0.592
O 0.523 0.844 0.908

Properties
Final energy   -553.10 eV per cell
Theoretical density   3646 kg/m³
Formation energy (no corrections)   -2.73 eV per atom

---

Entry 22:
Material: RuBr2O
Method: DFT, GGA-PBEsol
State: relaxed

a = 5.827 Å, b = 5.827 Å, c = 5.827 Å
α = 82.93°, β = 64.00°, γ = 116.00°
Atoms (fractional coordinates):
Ru 0.000 0.000 0.000
Ru 0.500 0.250 0.250
O 0.000 0.500 0.500
O 0.500 0.750 0.750
Br 0.995 0.370 0.125
Br 0.005 0.880 0.625
Br 0.505 0.625 0.370
Br 0.495 0.125 0.880

Properties
Final energy   -32.67 eV per cell
Theoretical density   6251 kg/m³
Formation energy (no corrections)   0.71 eV per atom

---

Entry 23:
Material: ZrTaMo2
Method: DFT, GGA-PBEsol
State: relaxed

a = 3.220 Å, b = 4.548 Å, c = 5.446 Å
α = 114.68°, β = 107.19°, γ = 90.00°
Atoms (fractional coordinates):
Mo 0.012 0.012 0.024
Mo 0.742 0.242 0.484
Zr 0.256 0.756 0.513
Ta 0.489 0.489 0.979

Properties
Energy of formation   -0.065 eV per atom
Final energy   -45.44 eV per cell
Theoretical density   11247 kg/m³
Relative energy among the computed polymorphs   0.0 kJ/mol of formula units

---

Entry 24:
Material: YCr2OsRu
Method: DFT, GGA-PBEsol
State: relaxed

a = 4.410 Å, b = 4.410 Å, c = 5.063 Å
α = 90.00°, β = 90.00°, γ = 90.00°
Atoms (fractional coordinates):
Y 0.000 0.000 0.500
Ru 0.000 0.000 0.000
Os 0.500 0.500 0.500
Cr 0.000 0.500 0.000
Cr 0.500 0.000 0.000

Properties
Energy of formation   1.503 eV per atom
Final energy   -42.18 eV per cell
Theoretical density   8166 kg/m³